Here is CoSb2 after structural relaxation from the Alexandria database. Energies are from PBE.

Output
**N(E_F)**: 1.81 states/eV/cell
**E_form (uncorrected)**: 0.012 eV per atom

Cell lengths 3.703, 3.703, 5.386 Å; angles 90.00, 90.00, 120.00 degrees
Element x y z (fractional)
Co (0.000, 0.000, 0.000)
Sb (0.333, 0.667, 0.257)
Sb (0.667, 0.333, 0.743)

Here is Cs3Pu2GaBr9 after structural relaxation from the Alexandria database. Energies are from PBE.

Output
**N(E_F)**: 36.53 states/eV/cell
**E_form (uncorrected)**: -1.526 eV per atom

Cell lengths 8.351, 8.351, 10.322 Å; angles 90.00, 90.00, 120.00 degrees
Last column: magnetic moment on the atom in μB.
Element x y z (fractional)
Cs (0.333, 0.667, 0.641)  0.00
Cs (0.000, 0.000, 0.000)  0.00
Cs (0.667, 0.333, 0.359)  0.00
Pu (0.333, 0.667, 0.166)  -5.45
Pu (0.667, 0.333, 0.834)  -5.45
Ga (0.000, 0.000, 0.500)  0.01
Br (0.831, 0.169, 0.675)  0.02
Br (0.831, 0.661, 0.675)  0.02
Br (0.339, 0.169, 0.675)  0.02
Br (0.661, 0.831, 0.325)  0.02
Br (0.169, 0.339, 0.325)  0.02
Br (0.169, 0.831, 0.325)  0.02
Br (0.500, 0.000, 0.000)  0.03
Br (0.000, 0.500, 0.000)  0.03
Br (0.500, 0.500, 0.000)  0.03

Here is TbSm6Sc2 after structural relaxation from the Alexandria database. Energies are from PBE.

Output
**Polymorph energy (0 for the lowest one)**: 60 meV per atom
**ΔE_f**: 0.1331 eV per atom
**N(E_F)**: 21.28 states/eV/cell

Cell lengths 6.639, 9.439, 9.439 Å; angles 88.03, 78.92, 78.92 degrees
Element x y z (fractional)
Tb (0.250, 0.139, 0.861)
Tb (0.750, 0.861, 0.139)
Sm (0.502, 0.613, 0.331)
Sm (0.998, 0.669, 0.387)
Sm (0.498, 0.387, 0.669)
Sm (0.002, 0.331, 0.613)
Sm (0.730, 0.051, 0.464)
Sm (0.770, 0.536, 0.949)
Sm (0.270, 0.949, 0.536)
Sm (0.230, 0.464, 0.051)
Sm (0.318, 0.790, 0.973)
Sm (0.182, 0.027, 0.210)
Sm (0.682, 0.210, 0.027)
Sm (0.818, 0.973, 0.790)
Sc (0.126, 0.660, 0.713)
Sc (0.374, 0.287, 0.340)
Sc (0.874, 0.340, 0.287)
Sc (0.626, 0.713, 0.660)

Here is KRb2LiS after structural relaxation from the Alexandria database. Energies are from PBE.

Output
**N(E_F)**: 0.00 states/eV/cell
**E_form (uncorrected)**: 0.130 eV per atom

Cell lengths 6.322, 6.118, 6.322 Å; angles 90.00, 90.00, 90.00 degrees
Element x y z (fractional)
K (0.000, 0.500, 0.000)
S (0.500, 0.500, 0.500)
Rb (0.000, 0.000, 0.500)
Rb (0.500, 0.000, 0.000)
Li (0.000, 0.000, 0.000)

Here is Tb6Pm2PrMg after structural relaxation from the Alexandria database. Energies are from PBE.

Output
**ΔE_f**: 0.1074 eV per atom
**N(E_F)**: 29.58 states/eV/cell

Cell lengths 6.694, 11.019, 11.019 Å; angles 125.89, 85.80, 85.80 degrees
Element x y z (fractional)
Tb (0.030, 0.086, 0.792)
Tb (0.470, 0.208, 0.914)
Tb (0.970, 0.914, 0.208)
Tb (0.530, 0.792, 0.086)
Tb (0.280, 0.915, 0.435)
Tb (0.220, 0.565, 0.085)
Tb (0.720, 0.085, 0.565)
Tb (0.780, 0.435, 0.915)
Tb (0.019, 0.701, 0.524)
Tb (0.481, 0.476, 0.299)
Tb (0.981, 0.299, 0.476)
Tb (0.519, 0.524, 0.701)
Pm (0.502, 0.815, 0.650)
Pm (0.998, 0.350, 0.185)
Pm (0.498, 0.185, 0.350)
Pm (0.002, 0.650, 0.815)
Pr (0.250, 0.992, 0.008)
Pr (0.750, 0.008, 0.992)
Mg (0.250, 0.293, 0.707)
Mg (0.750, 0.707, 0.293)

Here is ZrTeAs2 after structural relaxation from the Alexandria database. Energies are from PBE.

Output
**N(E_F)**: 2.42 states/eV/cell
**E_form (uncorrected)**: -0.253 eV per atom

Cell lengths 3.029, 3.029, 11.417 Å; angles 90.00, 90.00, 100.58 degrees
Element x y z (fractional)
As (0.000, 0.000, 0.928)
As (0.000, 0.000, 0.572)
Te (0.500, 0.500, 0.250)
Zr (0.500, 0.500, 0.750)

Here is ErScGaAu after structural relaxation from the Alexandria database. Energies are from PBE.

Output
**Polymorph energy (0 for the lowest one)**: 22 meV per atom
**ΔE_f**: -0.6939 eV per atom
**N(E_F)**: 2.03 states/eV/cell

Cell lengths 4.930, 4.930, 4.930 Å; angles 60.00, 60.00, 60.00 degrees
Element x y z (fractional)
Sc (0.500, 0.500, 0.500)
Au (0.750, 0.750, 0.750)
Ga (0.250, 0.250, 0.250)
Er (0.000, 0.000, 0.000)

Here is NdBiS2O after structural relaxation from the Alexandria database. Energies are from PBE.

Output
**E_form (uncorrected)**: -1.688 eV per atom

Cell lengths 4.009, 4.009, 14.239 Å; angles 90.00, 90.00, 90.00 degrees
Element x y z (fractional)
Nd (0.500, 0.000, 0.585)
Nd (0.000, 0.500, 0.415)
Bi (0.500, 0.000, 0.134)
Bi (0.000, 0.500, 0.866)
S (0.000, 0.500, 0.689)
S (0.000, 0.500, 0.106)
S (0.500, 0.000, 0.894)
S (0.500, 0.000, 0.311)
O (0.000, 0.000, 0.500)
O (0.500, 0.500, 0.500)

Here is NaEu2Dy after structural relaxation from the Alexandria database. Energies are from PBE.

Output
**Polymorph energy (0 for the lowest one)**: 0 meV per atom
**ΔE_f**: 0.1027 eV per atom
**N(E_F)**: 12.23 states/eV/cell

Cell lengths 3.710, 3.710, 11.133 Å; angles 90.00, 90.00, 90.00 degrees
Last column: magnetic moment on the atom in μB.
Element x y z (fractional)
Eu (0.000, 0.000, 0.763)  7.02
Eu (0.000, 0.000, 0.237)  7.02
Na (0.500, 0.500, 0.500)  0.01
Dy (0.500, 0.500, 0.000)  0.45

Here is MgNpP2 after structural relaxation from the Alexandria database. Energies are from PBE.

Output
**Polymorph energy (0 for the lowest one)**: 12 meV per atom
**ΔE_f**: -0.6493 eV per atom
**N(E_F)**: 18.25 states/eV/cell

Cell lengths 5.475, 5.475, 6.747 Å; angles 113.94, 113.94, 90.00 degrees
Last column: magnetic moment on the atom in μB.
Element x y z (fractional)
Mg (0.500, 0.500, 0.000)  -0.01
Mg (0.250, 0.750, 0.500)  -0.01
Np (0.750, 0.250, 0.500)  3.20
Np (0.000, 0.000, 0.000)  3.20
P (0.754, 0.754, 0.508)  -0.13
P (0.504, 0.004, 0.008)  -0.13
P (0.246, 0.246, 0.492)  -0.13
P (0.996, 0.496, 0.992)  -0.13

Here is TbEr5P6 after structural relaxation from the Alexandria database. Energies are from PBE.

Output
**ΔE_f**: -1.6126 eV per atom
**N(E_F)**: 1.13 states/eV/cell

Cell lengths 6.891, 6.894, 6.892 Å; angles 59.99, 80.40, 70.52 degrees
Element x y z (fractional)
P (0.749, 0.084, 0.335)
P (0.251, 0.581, 0.335)
P (0.251, 0.252, 0.000)
P (0.749, 0.748, 0.000)
P (0.749, 0.419, 0.665)
P (0.251, 0.916, 0.665)
Tb (0.000, 0.000, 0.000)
Er (0.500, 0.166, 0.668)
Er (0.000, 0.333, 0.334)
Er (0.500, 0.500, 0.000)
Er (0.000, 0.667, 0.666)
Er (0.500, 0.834, 0.332)

Here is K2SeO4 after structural relaxation from the Alexandria database. Energies are from PBE.

Output
**Polymorph energy (0 for the lowest one)**: 0 meV per atom
**N(E_F)**: 0.00 states/eV/cell
**E_form (uncorrected)**: -1.412 eV per atom

Cell lengths 6.188, 10.589, 23.466 Å; angles 90.00, 90.00, 90.00 degrees
Element x y z (fractional)
K (0.775, 0.290, 0.336)
K (0.275, 0.710, 0.664)
K (0.244, 0.421, 0.107)
K (0.226, 0.707, 0.997)
K (0.726, 0.207, 0.503)
K (0.275, 0.790, 0.164)
K (0.226, 0.793, 0.497)
K (0.744, 0.579, 0.893)
K (0.750, 0.209, 0.171)
K (0.750, 0.291, 0.671)
K (0.729, 0.934, 0.059)
K (0.729, 0.566, 0.559)
K (0.229, 0.066, 0.941)
K (0.269, 0.073, 0.276)
K (0.269, 0.427, 0.776)
K (0.769, 0.573, 0.224)
K (0.244, 0.079, 0.607)
K (0.775, 0.210, 0.836)
K (0.250, 0.791, 0.829)
K (0.229, 0.434, 0.441)
K (0.769, 0.927, 0.724)
K (0.250, 0.709, 0.329)
K (0.726, 0.293, 0.003)
K (0.744, 0.921, 0.393)
Se (0.259, 0.414, 0.258)
Se (0.229, 0.086, 0.094)
Se (0.258, 0.088, 0.426)
Se (0.729, 0.586, 0.406)
Se (0.258, 0.412, 0.926)
Se (0.759, 0.914, 0.242)
Se (0.229, 0.414, 0.594)
Se (0.758, 0.588, 0.074)
Se (0.759, 0.586, 0.742)
Se (0.729, 0.914, 0.906)
Se (0.259, 0.086, 0.758)
Se (0.758, 0.912, 0.574)
O (0.535, 0.649, 0.770)
O (0.016, 0.324, 0.575)
O (0.981, 0.849, 0.603)
O (0.459, 0.335, 0.580)
O (0.226, 0.547, 0.555)
O (0.551, 0.811, 0.580)
O (0.959, 0.835, 0.920)
O (0.312, 0.443, 0.995)
O (0.035, 0.351, 0.230)
O (0.016, 0.176, 0.075)
O (0.812, 0.557, 0.005)
O (0.726, 0.047, 0.945)
O (0.200, 0.953, 0.391)
O (0.981, 0.651, 0.103)
O (0.459, 0.165, 0.080)
O (0.713, 0.948, 0.837)
O (0.811, 0.449, 0.775)
O (0.713, 0.552, 0.337)
O (0.481, 0.151, 0.397)
O (0.959, 0.665, 0.420)
O (0.311, 0.949, 0.725)
O (0.726, 0.453, 0.445)
O (0.226, 0.953, 0.055)
O (0.035, 0.149, 0.730)
O (0.312, 0.057, 0.495)
O (0.051, 0.311, 0.920)
O (0.213, 0.448, 0.663)
O (0.710, 0.941, 0.173)
O (0.467, 0.186, 0.750)
O (0.811, 0.051, 0.275)
O (0.516, 0.824, 0.925)
O (0.551, 0.689, 0.080)
O (0.210, 0.059, 0.827)
O (0.700, 0.047, 0.609)
O (0.700, 0.453, 0.109)
O (0.467, 0.314, 0.250)
O (0.213, 0.052, 0.163)
O (0.535, 0.851, 0.270)
O (0.710, 0.559, 0.673)
O (0.311, 0.551, 0.225)
O (0.051, 0.189, 0.420)
O (0.812, 0.943, 0.505)
O (0.516, 0.676, 0.425)
O (0.210, 0.441, 0.327)
O (0.481, 0.349, 0.897)
O (0.200, 0.547, 0.891)
O (0.967, 0.686, 0.750)
O (0.967, 0.814, 0.250)

| no. | uncorrected energy (hartree per atom) |
| --- | --- |
| 1 | -0.1876 |
| 2 | -0.1769 |
| 3 | -0.1813 |
| 4 | -0.0619 |
| 5 | -0.1565 |
| 6 | -0.2021 |
| 7 | -0.1835 |
| 8 | -0.2227 |
| 9 | -0.2394 |
| 10 | -0.2568 |
| 11 | -0.2427 |
| 12 | -0.1858 |